one) Density functional theory data (meta-GGA SCAN) for LaY at its PBEsol-relaxed geometry.

Calculated values
**Calculated volume**: 32.57 Å³ per atom

a = 3.6053 Å, b = 3.6053 Å, c = 5.7872 Å
α = 90.00°, β = 90.00°, γ = 120.00°
Space group P-6m2 (No. 187)
Asymmetric unit:
La 0.0000 0.0000 0.0000 [1 per cell]
Y 0.6667 0.3333 0.5000 [1 per cell]


two) Density functional theory data (meta-GGA SCAN) for LaY at its PBEsol-relaxed geometry.

Calculated values
**Calculated volume**: 32.42 Å³ per atom

a = 3.586 Å, b = 3.586 Å, c = 10.081 Å
α = 90.00°, β = 90.00°, γ = 90.00°
Space group P4/nmm (No. 129, origin choice 2)
Asymmetric unit:
La 0.250 0.250 0.124 [2 per cell]
Y 0.250 0.250 0.619 [2 per cell]


Relative to the most stable one, in eV/atom, the structures come out at one) 0.013; two) 0.000.


one) Density functional theory data (meta-GGA SCAN) for PtAu2 at its PBEsol-relaxed geometry.

Calculated values
**Calculated volume**: 16.23 Å³ per atom

a = 2.827 Å, b = 4.034 Å, c = 8.537 Å
α = 90.00°, β = 90.00°, γ = 90.00°
Space group Immm (No. 71)
Asymmetric unit:
Pt 0.000 0.000 0.000 [2 per cell]
Au 0.000 0.000 0.335 [4 per cell]


two) Density functional theory data (meta-GGA SCAN) for PtAu2 at its PBEsol-relaxed geometry.

Calculated values
**Calculated volume**: 17.32 Å³ per atom

a = 7.464 Å, b = 7.464 Å, c = 7.464 Å
α = 90.00°, β = 90.00°, γ = 90.00°
Space group Fd-3m (No. 227, origin choice 2)
Asymmetric unit:
Pt 0.125 0.125 0.125 [8 per cell]
Au 0.000 0.000 0.500 [16 per cell]


Relative to the most stable one, in eV/atom, the structures come out at one) 0.000; two) 0.411.